(1)
The following is a PBE calculation of ErAlNiPd after structural relaxation, from the Alexandria database.

abc: 4.559 4.559 4.559
angles: 60.00 60.00 60.00
Fractional coordinates of all 4 atoms:
Er  0.500  0.500  0.500
Ni  0.250  0.250  0.250
Pd  0.750  0.750  0.750
Al  0.000  0.000  0.000

Summary:
* SG: No. 216
* spin magnetization: 0.000 μB per formula unit
* formation enthalpy at 0 K: -2.66 eV per formula unit
* mass density: 8.9 g/cm3

(2)
The following is a PBE calculation of ErAl4NiPd2 after structural relaxation, from the Alexandria database.

abc: 4.225 4.225 8.936
angles: 76.32 76.32 60.00
Fractional coordinates of all 8 atoms:
Ni  0.500  0.500  0.500
Er  0.000  0.000  0.000
Pd  0.761  0.761  0.718
Pd  0.239  0.239  0.282
Al  0.864  0.864  0.408
Al  0.404  0.404  0.787
Al  0.136  0.136  0.592
Al  0.596  0.596  0.213

Summary:
* SG: No. 166
* spin magnetization: 0.000 μB per formula unit
* formation enthalpy at 0 K: -5.52 eV per formula unit
* mass density: 6.8 g/cm3

(3)
The following is a PBE calculation of ErAlNiPt after structural relaxation, from the Alexandria database.

abc: 4.559 4.559 4.559
angles: 60.00 60.00 60.00
Fractional coordinates of all 4 atoms:
Ni  0.250  0.250  0.250
Er  0.500  0.500  0.500
Al  0.000  0.000  0.000
Pt  0.750  0.750  0.750

Summary:
* SG: No. 216
* spin magnetization: 0.000 μB per formula unit
* formation enthalpy at 0 K: -3.15 eV per formula unit
* mass density: 11.1 g/cm3

(4)
The following is a PBE calculation of ErScAlNi after structural relaxation, from the Alexandria database.

abc: 4.796 4.796 4.796
angles: 60.00 60.00 60.00
Fractional coordinates of all 4 atoms:
Er  0.000  0.000  0.000
Al  0.750  0.750  0.750
Sc  0.500  0.500  0.500
Ni  0.250  0.250  0.250

Summary:
* SG: No. 216
* spin magnetization: 0.000 μB per formula unit
* formation enthalpy at 0 K: -1.45 eV per formula unit
* mass density: 6.3 g/cm3

(5)
The following is a PBE calculation of Er2Al2SiNi5 after structural relaxation, from the Alexandria database.

abc: 2.885 10.090 10.090
angles: 90.00 90.00 90.00
Fractional coordinates of all 20 atoms:
Ni  0.500  0.000  0.500
Ni  0.500  0.682  0.446
Ni  0.500  0.318  0.554
Ni  0.500  0.446  0.318
Ni  0.500  0.554  0.682
Ni  0.500  0.946  0.182
Ni  0.500  0.182  0.054
Ni  0.500  0.818  0.946
Ni  0.500  0.054  0.818
Ni  0.500  0.500  0.000
Al  0.000  0.868  0.368
Al  0.000  0.368  0.132
Al  0.000  0.132  0.632
Al  0.000  0.632  0.868
Er  0.000  0.829  0.671
Er  0.000  0.171  0.329
Er  0.000  0.329  0.829
Er  0.000  0.671  0.171
Si  0.000  0.500  0.500
Si  0.000  0.000  0.000

Summary:
* SG: No. 127
* spin magnetization: 0.000 μB per formula unit
* mass density: 8.0 g/cm3
* ΔE_f (raw): -0.431 eV/atom

(6)
The following is a PBE calculation of ErAl2SiNi4 after structural relaxation, from the Alexandria database.

abc: 4.014 4.014 8.434
angles: 76.23 76.23 60.00
Fractional coordinates of all 8 atoms:
Ni  0.136  0.136  0.591
Ni  0.864  0.864  0.409
Ni  0.407  0.407  0.779
Ni  0.593  0.593  0.221
Er  0.000  0.000  0.000
Si  0.500  0.500  0.500
Al  0.758  0.758  0.726
Al  0.242  0.242  0.274

Summary:
* SG: No. 166
* spin magnetization: 0.000 μB per formula unit
* mass density: 7.1 g/cm3
* ΔE_f (raw): -0.578 eV/atom

(7)
The following is a PBE calculation of ErAlSi2Ni5 after structural relaxation, from the Alexandria database.

abc: 4.033 4.033 7.717
angles: 90.00 90.00 90.00
Fractional coordinates of all 9 atoms:
Si  0.500  0.500  0.147
Si  0.500  0.500  0.853
Al  0.000  0.000  0.000
Er  0.000  0.000  0.500
Ni  0.500  0.500  0.500
Ni  0.000  0.500  0.736
Ni  0.000  0.500  0.264
Ni  0.500  0.000  0.264
Ni  0.500  0.000  0.736

Summary:
* SG: No. 123
* spin magnetization: 0.000 μB per formula unit
* mass density: 7.2 g/cm3
* ΔE_f (raw): -0.317 eV/atom

(8)
The following is a PBE calculation of SmErAlNi after structural relaxation, from the Alexandria database.

abc: 5.004 5.004 5.004
angles: 60.00 60.00 60.00
Fractional coordinates of all 4 atoms:
Er  0.500  0.500  0.500
Ni  0.250  0.250  0.250
Al  0.750  0.750  0.750
Sm  0.000  0.000  0.000

Summary:
* SG: No. 216
* spin magnetization: 0.000 μB per formula unit
* formation enthalpy at 0 K: -1.14 eV per formula unit
* mass density: 7.6 g/cm3

(9)
The following is a PBE calculation of ErTh2Al12Ni3 after structural relaxation, from the Alexandria database.

abc: 7.878 7.878 7.878
angles: 64.76 64.76 64.76
Fractional coordinates of all 18 atoms:
Ni  0.000  0.500  0.000
Ni  0.500  0.000  0.000
Ni  0.000  0.000  0.500
Al  0.835  0.835  0.472
Al  0.280  0.885  0.280
Al  0.472  0.835  0.835
Al  0.835  0.472  0.835
Al  0.115  0.720  0.720
Al  0.280  0.280  0.885
Al  0.885  0.280  0.280
Al  0.720  0.720  0.115
Al  0.528  0.165  0.165
Al  0.720  0.115  0.720
Al  0.165  0.165  0.528
Al  0.165  0.528  0.165
Th  0.418  0.418  0.418
Th  0.582  0.582  0.582
Er  0.000  0.000  0.000

Summary:
* SG: No. 166
* spin magnetization: 0.000 μB per formula unit
* formation enthalpy at 0 K: 0.02 eV per formula unit
* mass density: 4.9 g/cm3

(10)
The following is a PBE calculation of ErAl3ZnNi after structural relaxation, from the Alexandria database.

abc: 5.711 5.955 6.869
angles: 115.69 90.00 90.00
Fractional coordinates of all 12 atoms:
Al  0.500  0.717  0.000
Al  0.000  0.717  0.000
Al  0.500  0.283  0.000
Al  0.250  0.134  0.268
Al  0.750  0.866  0.732
Al  0.000  0.283  0.000
Er  0.250  0.713  0.426
Er  0.750  0.287  0.574
Zn  0.750  0.655  0.311
Zn  0.250  0.345  0.689
Ni  0.750  0.077  0.154
Ni  0.250  0.923  0.846

Summary:
* SG: No. 63
* spin magnetization: 0.000 μB per formula unit
* formation enthalpy at 0 K: -1.65 eV per formula unit
* mass density: 5.9 g/cm3

(11)
The following is a PBE calculation of Er2Al2ZnNi5 after structural relaxation, from the Alexandria database.

abc: 3.177 9.780 9.780
angles: 90.00 90.00 90.00
Fractional coordinates of all 20 atoms:
Ni  0.500  0.699  0.448
Ni  0.500  0.199  0.052
Ni  0.500  0.801  0.948
Ni  0.500  0.448  0.301
Ni  0.500  0.552  0.699
Ni  0.500  0.052  0.801
Ni  0.500  0.301  0.552
Ni  0.500  0.500  0.000
Ni  0.500  0.000  0.500
Ni  0.500  0.948  0.199
Al  0.000  0.875  0.375
Al  0.000  0.375  0.125
Al  0.000  0.625  0.875
Al  0.000  0.125  0.625
Zn  0.000  0.500  0.500
Zn  0.000  0.000  0.000
Er  0.000  0.325  0.825
Er  0.000  0.675  0.175
Er  0.000  0.175  0.325
Er  0.000  0.825  0.675

Summary:
* SG: No. 127
* spin magnetization: 0.000 μB per formula unit
* formation enthalpy at 0 K: -3.39 eV per formula unit
* mass density: 8.2 g/cm3

(12)
The following is a PBE calculation of ErNpAl4 after structural relaxation, from the Alexandria database.

abc: 5.528 5.528 5.528
angles: 60.00 60.00 60.00
Each line ends with the local moment (μB).
Fractional coordinates of all 6 atoms:
Al  0.625  0.625  0.126  0.00
Al  0.625  0.126  0.625  0.00
Al  0.126  0.625  0.625  0.00
Al  0.625  0.625  0.625  0.00
Np  0.250  0.250  0.250  3.99
Er  0.000  0.000  0.000  0.12

Summary:
* SG: No. 216
* spin magnetization: 4.579 μB per formula unit
* formation enthalpy at 0 K: -1.45 eV per formula unit
* mass density: 7.1 g/cm3